Compound: SrCr2PdO
Source: Alexandria
Functional: GGA+U
Structure: optimized geometry

Unit cell a=6.1513 b=5.2143 c=6.1513 alpha=90.00 beta=90.00 gamma=90.00
Closest atoms and distances in Å follow each position.
Sites, in units of the cell vectors:
1 Sr 0.0000 0.0000 0.0000  2 Pd 2.61
2 O 0.5000 0.5000 0.5000  8 Cr 4.03, 4 Pd 4.35
3 Pd 0.0000 0.5000 0.0000  2 Sr 2.61
4 Cr 0.0000 0.0000 0.5000  2 Sr 3.08
5 Cr 0.5000 0.0000 0.0000  2 Sr 3.08

Calculated values
**E_tot**: -18.611 eV/cell